{
  "formula": "Sb2OsRu",
  "functional": "PBE-GGA",
  "state": "relaxed",
  "crystal_system": "trigonal",
  "space_group": "R3m, No. 160",
  "volume_a3_per_atom": 21.42,
  "polymorph_energy_mev_per_atom": 212,
  "e_form_raw_ev_per_atom": 0.47,
  "lattice": [[1.547, 0.893, 10.335], [-1.547, 0.893, 10.335], [0.000, -1.786, 10.335]],
  "species": ["Sb", "Sb", "Os", "Ru"],
  "frac_coords": [[0.000, 0.000, 0.000], [0.199, 0.199, 0.199], [0.733, 0.733, 0.733], [0.468, 0.468, 0.468]]
}

***

{
  "formula": "RbUN2",
  "functional": "PBE-GGA",
  "state": "relaxed",
  "crystal_system": "tetragonal",
  "space_group": "P4/mmm, No. 123",
  "volume_a3_per_atom": 15.58,
  "polymorph_energy_mev_per_atom": 626,
  "e_form_raw_ev_per_atom": -0.29,
  "lattice": [[2.994, 0.000, 0.000], [0.000, 2.994, 0.000], [0.000, 0.000, 6.952]],
  "species": ["Rb", "U", "N", "N"],
  "frac_coords": [[0.000, 0.000, 0.000], [0.000, 0.000, 0.500], [0.500, 0.500, 0.323], [0.500, 0.500, 0.677]]
}

***

{
  "formula": "Mn2CdIn",
  "functional": "PBE-GGA",
  "state": "relaxed",
  "crystal_system": "tetragonal",
  "ef_mev_per_atom": 603,
  "space_group": "I-42d, No. 122",
  "volume_a3_per_atom": 19.62,
  "lattice": [[-3.712, 3.712, 2.849], [3.712, -3.712, 2.849], [3.712, 3.712, -2.849]],
  "species": ["Mn", "Mn", "Mn", "Mn", "Cd", "Cd", "In", "In"],
  "frac_coords": [[0.124, 0.625, 0.999], [0.375, 0.374, 0.499], [0.626, 0.125, 0.001], [0.875, 0.876, 0.501], [0.000, 0.000, 0.000], [0.750, 0.250, 0.500], [0.250, 0.750, 0.500], [0.500, 0.500, 0.000]]
}

***

{
  "formula": "NaCeBO4",
  "functional": "PBE-GGA",
  "state": "relaxed",
  "crystal_system": "orthorhombic",
  "space_group": "Cmcm, No. 63",
  "volume_a3_per_atom": 11.40,
  "e_form_raw_ev_per_atom": -2.58,
  "lattice": [[2.728, -4.349, 0.000], [2.728, 4.349, 0.000], [0.000, 0.000, 6.727]],
  "species": ["Na", "Na", "Ce", "Ce", "B", "B", "O", "O", "O", "O", "O", "O", "O", "O"],
  "frac_coords": [[0.000, 0.000, 0.000], [0.000, 0.000, 0.500], [0.312, 0.688, 0.750], [0.688, 0.312, 0.250], [0.365, 0.635, 0.250], [0.635, 0.365, 0.750], [0.247, 0.315, 0.250], [0.264, 0.736, 0.071], [0.264, 0.736, 0.429], [0.315, 0.247, 0.750], [0.685, 0.753, 0.250], [0.736, 0.264, 0.571], [0.736, 0.264, 0.929], [0.753, 0.685, 0.750]]
}

***

{
  "formula": "Pm6Nd2DyTm3",
  "functional": "PBE-GGA",
  "state": "relaxed",
  "crystal_system": "monoclinic",
  "ef_mev_per_atom": 17,
  "space_group": "C2/m, No. 12",
  "volume_a3_per_atom": 33.09,
  "lattice": [[3.129, -5.419, 0.000], [3.129, 5.419, 0.000], [-2.081, 0.000, 11.709]],
  "species": ["Pm", "Pm", "Pm", "Pm", "Pm", "Pm", "Nd", "Nd", "Dy", "Tm", "Tm", "Tm"],
  "frac_coords": [[0.085, 0.417, 0.754], [0.248, 0.248, 0.246], [0.417, 0.085, 0.754], [0.583, 0.915, 0.246], [0.752, 0.752, 0.754], [0.915, 0.583, 0.246], [0.333, 0.667, 0.500], [0.667, 0.333, 0.500], [0.000, 0.000, 0.500], [0.166, 0.834, 0.000], [0.500, 0.500, 0.000], [0.834, 0.166, 0.000]]
}

***

{
  "formula": "GaSbSeO2",
  "functional": "PBE-GGA",
  "state": "relaxed",
  "crystal_system": "tetragonal",
  "space_group": "P4/mmm, No. 123",
  "volume_a3_per_atom": 15.73,
  "e_form_raw_ev_per_atom": -0.48,
  "lattice": [[3.972, 0.000, 0.000], [0.000, 3.972, 0.000], [0.000, 0.000, 4.988]],
  "species": ["Ga", "Sb", "Se", "O", "O"],
  "frac_coords": [[0.000, 0.000, 0.000], [0.500, 0.500, 0.500], [0.000, 0.000, 0.500], [0.000, 0.500, 0.000], [0.500, 0.000, 0.000]]
}